# 1
VASP calculation (SCAN) on a crystal of La2PtPb relaxed with PBEsol.

The formation energy is -1.063 eV per atom. Its space group is Amm2 (38).

```
4
Lattice="4.327 0.000 0.000 0.000 4.451 0.000 -2.164 0.000 5.864" Properties=species:S:1:pos:R:3 pbc="T T T"
Pb 2.164 0.000 3.848
Pt 2.164 2.225 1.815
La 0.000 0.000 1.361
La 0.000 2.225 4.722
```

=====

# 2
VASP calculation (SCAN) on a crystal of RbTe2Au relaxed with PBEsol.

As for the final energy: -333.0 eV for the cell shown. Its space group is I-42d (122).

```
8
Lattice="-6.342 -2.730 0.772 5.607 -3.919 1.217 0.326 5.050 4.761" Properties=species:S:1:pos:R:3 pbc="T T T"
Te -0.982 -3.100 4.580
Te 0.387 -0.161 2.666
Te -3.431 2.760 4.898
Te 3.205 -2.697 1.354
Au 2.782 -1.097 3.486
Au 0.000 0.000 0.000
Rb -3.192 -0.502 3.263
Rb -0.368 -3.325 0.994
```